RePPb2 | SCAN | PBEsol geometry

a = 3.6600 Å, b = 4.9975 Å, c = 5.3207 Å
α = 118.01°, β = 110.12°, γ = 90.00°
Last column: nearest neighbours and their distance in Å.
Sites, in units of the cell vectors:
1 P 0.0000 0.5000 0.0000  4 Pb 2.75
2 Pb 0.7377 0.7377 0.4754  2 P 2.75, 2 Re 2.92
3 Pb 0.2623 0.2623 0.5246  2 P 2.75, 2 Re 2.92
4 Re 0.5000 0.0000 0.0000  8 Pb 2.92-3.24, 4 P 3.10

Calculated values
For the formation enthalpy at 0 K, the calculation gives 1222 meV per atom. Its calculated volume is 19.783 Å³ per atom. The density of states at the Fermi level comes out at 2.8 states/eV per cell.